Material: LiPuIn4O8
Method: DFT, PBE
State: optimized geometry

Cell lengths 6.475, 6.475, 6.475 Å; angles 61.19, 61.19, 61.19 degrees
Sites, in units of the cell vectors:
Li 0.000 0.000 0.000
Pu 0.379 0.379 0.379
In 0.499 0.997 0.997
In 0.616 0.616 0.616
In 0.997 0.499 0.997
In 0.997 0.997 0.499
O 0.220 0.752 0.752
O 0.238 0.238 0.238
O 0.239 0.239 0.784
O 0.239 0.784 0.239
O 0.752 0.220 0.752
O 0.752 0.752 0.220
O 0.753 0.753 0.753
O 0.784 0.239 0.239

Output
ΔE_f (raw) ... -1797 meV per atom
Space-group type ... R3m, No. 160
Total magnetization ... 4.75 μB per formula unit